# FeSn2I

An optimized crystal structure of FeSn2I (PBE, Alexandria via LeMat-Bulk).

Output
Spin magnetization in Bohr magnetons per cell: 2.9
D(E_F) in states/eV/atom: 1.0962
Excess energy over the best structure of this formula in the dataset in meV/atom: 298
ΔE_f (raw) in eV per atom: 0.7308

Unit cell a=5.282 b=5.282 c=5.282 alpha=60.00 beta=60.00 gamma=60.00
Sites, in units of the cell vectors:
Fe  0.000  0.000  0.000
Sn  0.250  0.250  0.250
Sn  0.750  0.750  0.750
I  0.500  0.500  0.500